Entry 1
{
  "formula": "Sr2IrOs",
  "functional": "PBE-GGA",
  "state": "optimized geometry",
  "dos_at_fermi_per_ev_cell": 2.7,
  "cell": [[5.9270, -0.1628, 0.0271], [2.2737, 5.4759, -0.0271], [-3.7920, -3.1324, 3.3113]],
  "species": ["Os", "Sr", "Sr", "Ir"],
  "fractional_positions": [[0.3255, 0.8255, 0.5000], [0.7307, 0.2307, 0.5000], [0.0174, 0.0174, 0.0000], [0.4263, 0.4263, 0.0000]]
}

***

Entry 2
{
  "formula": "Sr2IrOs",
  "functional": "PBE-GGA",
  "state": "optimized geometry",
  "dos_at_fermi_per_ev_cell": 2.5,
  "cell": [[-4.2170, -1.1635, 0.0315], [0.1671, -0.4747, 4.8356], [-1.3269, 4.8892, 2.9683]],
  "species": ["Ir", "Sr", "Sr", "Os"],
  "fractional_positions": [[0.0000, 0.6702, 0.5343], [0.0000, 0.9816, 0.9118], [0.5000, 0.2674, 0.3401], [0.5000, 0.5808, 0.7137]]
}

***

Entry 3
{
  "formula": "Sr2IrOs",
  "functional": "PBE-GGA",
  "state": "optimized geometry",
  "dos_at_fermi_per_ev_cell": 4.8,
  "cell": [[6.7253, -0.0028, 0.0041], [6.0334, 2.9711, 0.0041], [2.9303, 0.6817, 4.7113]],
  "species": ["Sr", "Sr", "Ir", "Os"],
  "fractional_positions": [[0.9736, 0.9736, 0.9875], [0.7792, 0.7792, 0.7614], [0.5420, 0.5420, 0.3887], [0.2053, 0.2053, 0.3624]]
}

***

Which of them is least stable? Easy: entry 3.

***

Entry 1
{
  "formula": "Sr2IrOs",
  "functional": "PBE-GGA",
  "state": "optimized geometry",
  "dos_at_fermi_per_ev_cell": 3.8,
  "cell": [[5.6298, 0.0401, -0.0074], [-1.3687, 5.4610, -0.0074], [0.0037, 0.0048, 2.9203]],
  "species": ["Sr", "Sr", "Ir", "Os"],
  "fractional_positions": [[0.5000, 0.5000, 0.0000], [0.0000, 0.0000, 0.0000], [0.5000, 0.0000, 0.5000], [0.0000, 0.5000, 0.5000]]
}

***

Entry 2
{
  "formula": "Sr2IrOs",
  "functional": "PBE-GGA",
  "state": "optimized geometry",
  "dos_at_fermi_per_ev_cell": 5.3,
  "cell": [[-3.1482, 4.2064, 1.4950], [-0.7702, -0.2781, 5.4008], [4.5714, -0.1702, -2.9855]],
  "species": ["Os", "Ir", "Sr", "Sr"],
  "fractional_positions": [[0.2500, 0.7500, 0.5000], [0.7500, 0.2500, 0.5000], [0.9998, 0.9998, 0.0000], [0.5002, 0.5002, 0.0000]]
}

***

Which of them is least stable? Easy: entry 2.

***

Entry 1
{
  "formula": "Sr2IrOs",
  "functional": "PBE-GGA",
  "state": "optimized geometry",
  "dos_at_fermi_per_ev_cell": 4.1,
  "cell": [[-2.7842, 3.3935, -0.6010], [-1.9992, -1.3383, 1.7047], [0.6033, 1.7769, 7.2380]],
  "species": ["Sr", "Sr", "Ir", "Os"],
  "fractional_positions": [[0.0000, 0.5035, 0.4967], [0.0000, 0.9965, 0.0033], [0.5000, 0.2500, 0.2500], [0.5000, 0.7500, 0.7500]]
}

***

Entry 2
{
  "formula": "Sr2IrOs",
  "functional": "PBE-GGA",
  "state": "optimized geometry",
  "dos_at_fermi_per_ev_cell": 1.7,
  "cell": [[5.0777, 0.0018, -0.0080], [4.1363, 2.9452, -0.0080], [0.7062, 0.2259, 5.8865]],
  "species": ["Sr", "Sr", "Ir", "Os"],
  "fractional_positions": [[0.0015, 0.0015, 0.9974], [0.4985, 0.4985, 0.5026], [0.7500, 0.7500, 0.7500], [0.2500, 0.2500, 0.2500]]
}

***

Entry 3
{
  "formula": "Sr2IrOs",
  "functional": "PBE-GGA",
  "state": "optimized geometry",
  "dos_at_fermi_per_ev_cell": 5.8,
  "cell": [[-3.0550, -4.0870, 0.0121], [-0.4803, -2.8138, 4.2295], [-4.3661, 0.0861, 2.6394]],
  "species": ["Sr", "Sr", "Os", "Ir"],
  "fractional_positions": [[0.7500, 0.7500, 0.7500], [0.2500, 0.2500, 0.2500], [0.0000, 0.0000, 0.0000], [0.5000, 0.5000, 0.5000]]
}

***

Which of them is least stable? Easy: entry 2.